Crystalline CsAcO2 at its relaxed geometry, computed with PBE-GGA.

Unit cell a=3.3565 b=3.3565 c=7.2114 alpha=90.00 beta=90.00 gamma=90.00
With the nearest neighbours (Å) after each atom.
Positions (direct):
Ac: 0.5000 0.5000 0.0000  8 O 2.73
O: 0.0000 0.0000 0.1872  1 O 2.70, 4 Ac 2.73
O: 0.0000 0.0000 0.8128  1 O 2.70, 4 Ac 2.73
Cs: 0.5000 0.5000 0.5000  8 O 3.27, 4 Cs 3.36, 2 Ac 3.61

symmetry	P4/mmm, No. 123
M_tot	0.00	Bohr magnetons per cell
crystal system	tetragonal
energy relative to the elements, uncorrected	-2.0674	eV/atom
total energy	-5.787	eV/atom